SrIr2Ru | PBE-GGA | optimized geometry

POSCAR file:
```
SrIr2Ru
1.0
2.821 0.000 0.000
0.000 3.628 0.000
0.000 0.000 7.314
Sr Ir Ru
1 2 1
direct
0.000 0.000 0.000
0.500 0.500 0.316
0.500 0.500 0.684
0.000 0.000 0.500
```

Computed properties:
**Distance to the lowest polymorph of the same formula**: 40.5 meV per atom
**Total moment**: 0.00 μB per cell
**Energy of formation**: 276 meV per atom
**Calculated volume**: 74.9 Å³ per cell

Sr2IrRu | PBE-GGA | optimized geometry

POSCAR file:
```
Sr2IrRu
1.0
-4.126 4.126 2.917
4.126 -4.126 2.917
4.126 4.126 -2.917
Sr Ir Ru
4 2 2
direct
0.106 0.625 0.981
0.375 0.356 0.481
0.644 0.125 0.019
0.875 0.894 0.519
0.000 0.000 0.000
0.750 0.250 0.500
0.250 0.750 0.500
0.500 0.500 0.000
```

Computed properties:
**Total moment**: 3.81 μB per cell
**Energy of formation**: 772 meV per atom
**Calculated volume**: 198.6 Å³ per cell

SrIrRu | PBE-GGA | optimized geometry

POSCAR file:
```
SrIrRu
1.0
4.178 0.000 0.000
-2.089 3.618 0.000
0.000 0.000 4.838
Sr Ir Ru
1 1 1
direct
0.000 0.000 0.000
0.667 0.333 0.500
0.333 0.667 0.500
```

Computed properties:
**Distance to the lowest polymorph of the same formula**: 0.0 meV per atom
**Total moment**: 0.00 μB per cell
**Energy of formation**: 101 meV per atom
**Calculated volume**: 73.1 Å³ per cell